{"formula": "Na3OsN", "functional": "meta-GGA SCAN", "state": "PBEsol geometry", "lattice_angstrom": [[-1.0367, 2.8637, -3.4823], [1.0096, -3.3349, -3.0431], [-4.3941, -1.4419, 0.1224]], "species": ["Na", "Na", "Na", "Os", "N"], "fractional_positions": [[0.0000, 0.0000, 0.5000], [0.5000, 0.0000, 0.0000], [0.0000, 0.5000, 0.0000], [0.5000, 0.5000, 0.5000], [0.0000, 0.0000, 0.0000]], "mass_density_g_cm3": 4.58, "raw_formation_energy_ev_per_atom": 1.30, "energy_ev_per_cell": -87.3}

---

{"formula": "Na6OsN4", "functional": "meta-GGA SCAN", "state": "PBEsol geometry", "lattice_angstrom": [[5.9827, 0.0000, 0.0000], [0.0000, 7.5693, 0.0000], [0.0000, 0.0000, 7.5693]], "species": ["N", "N", "N", "N", "N", "N", "N", "N", "Na", "Na", "Na", "Na", "Na", "Na", "Na", "Na", "Na", "Na", "Na", "Na", "Os", "Os"], "fractional_positions": [[0.6665, 0.5000, 0.2935], [0.8335, 0.0000, 0.2065], [0.3335, 0.7065, 0.5000], [0.3335, 0.2935, 0.5000], [0.6665, 0.5000, 0.7065], [0.1665, 0.2065, 0.0000], [0.1665, 0.7935, 0.0000], [0.8335, 0.0000, 0.7935], [0.5000, 0.7931, 0.2069], [0.0000, 0.7069, 0.2931], [0.0000, 0.2931, 0.2931], [0.5000, 0.2069, 0.2069], [0.0000, 0.2931, 0.7069], [0.8069, 0.5000, 0.0000], [0.1931, 0.0000, 0.5000], [0.5000, 0.2069, 0.7931], [0.0000, 0.7069, 0.7069], [0.6931, 0.0000, 0.5000], [0.5000, 0.7931, 0.7931], [0.3069, 0.5000, 0.0000], [0.0000, 0.0000, 0.0000], [0.5000, 0.5000, 0.5000]], "mass_density_g_cm3": 3.72, "raw_formation_energy_ev_per_atom": -0.04, "energy_ev_per_cell": -269.6}

---

{"formula": "RbNaOsN2", "functional": "meta-GGA SCAN", "state": "PBEsol geometry", "lattice_angstrom": [[-3.9591, 2.0172, 1.0571], [-2.2243, -2.9696, -2.6637], [-0.4986, -2.8784, 3.6252]], "species": ["Os", "Rb", "N", "N", "Na"], "fractional_positions": [[0.5000, 0.5000, 0.5000], [0.0000, 0.0000, 0.0000], [0.0000, 0.5000, 0.0000], [0.5000, 0.0000, 0.0000], [0.0000, 0.0000, 0.5000]], "mass_density_g_cm3": 5.59, "raw_formation_energy_ev_per_atom": 3.16, "energy_ev_per_cell": -99.6}